1.
Here is a relaxed Ba2Tl6AgHg crystal from Alexandria. Energies are from PBE.

Summary:
- calculated density (Mg/m³) = 8.86
- ΔH_f (0 K) (eV per formula unit) = -1.3
- magnetization (μB/cell) = 0.0
- V (Å³/cell) = 678.5

Cell lengths 13.995, 13.995, 13.995 Å; angles 31.86, 31.86, 31.86 degrees
Atoms (fractional coordinates):
1 Ba 0.106 0.106 0.106
2 Ba 0.282 0.282 0.282
3 Ba 0.718 0.718 0.718
4 Ba 0.894 0.894 0.894
5 Tl 0.078 0.663 0.663
6 Tl 0.223 0.223 0.650
7 Tl 0.223 0.650 0.223
8 Tl 0.337 0.337 0.922
9 Tl 0.337 0.922 0.337
10 Tl 0.350 0.777 0.777
11 Tl 0.650 0.223 0.223
12 Tl 0.663 0.078 0.663
13 Tl 0.663 0.663 0.078
14 Tl 0.777 0.350 0.777
15 Tl 0.777 0.777 0.350
16 Tl 0.922 0.337 0.337
17 Ag 0.000 0.000 0.000
18 Ag 0.500 0.500 0.500
19 Hg 0.427 0.427 0.427
20 Hg 0.573 0.573 0.573

***

2.
Here is a relaxed Pm3Tl4Cd2 crystal from Alexandria. Energies are from PBE.

Summary:
- calculated density (Mg/m³) = 9.79
- ΔH_f (0 K) (eV per formula unit) = -2.7
- magnetization (μB/cell) = 0.0
- V (Å³/cell) = 250.5

Cell lengths 6.350, 6.350, 9.457 Å; angles 112.72, 112.72, 46.37 degrees
Atoms (fractional coordinates):
1 Pm 0.000 0.000 0.000
2 Pm 0.330 0.330 0.332
3 Pm 0.670 0.670 0.668
4 Tl 0.091 0.091 0.425
5 Tl 0.315 0.315 0.980
6 Tl 0.685 0.685 0.020
7 Tl 0.909 0.909 0.575
8 Cd 0.400 0.400 0.728
9 Cd 0.600 0.600 0.272

***

3.
Here is a relaxed NdSmTl crystal from Alexandria. Energies are from PBE.

Summary:
- calculated density (Mg/m³) = 7.80
- ΔH_f (0 K) (eV per formula unit) = -0.2
- offset from the most stable computed form (meV/atom) = 215
- magnetization (μB/cell) = 0.8
- V (Å³/cell) = 106.3

Cell lengths 5.317, 5.317, 5.317 Å; angles 60.00, 60.00, 60.00 degrees
Atoms (fractional coordinates):
1 Nd 0.000 0.000 0.000
2 Sm 0.500 0.500 0.500
3 Tl 0.750 0.750 0.750

***

4.
Here is a relaxed NiSnSb2Te crystal from Alexandria. Energies are from PBE.

Summary:
- calculated density (Mg/m³) = 5.14
- uncorrected formation energy (eV per formula unit) = 6.282
- offset from the most stable computed form (meV/atom) = 1033
- magnetization (μB/cell) = 0.0
- V (Å³/cell) = 177.3

Cell lengths 5.611, 5.611, 5.631 Å; angles 90.00, 90.00, 90.00 degrees
Atoms (fractional coordinates):
1 Ni 0.000 0.000 0.000
2 Sn 0.500 0.500 0.500
3 Sb 0.000 0.500 0.500
4 Sb 0.500 0.000 0.500
5 Te 0.500 0.500 0.000

***

5.
Here is a relaxed LiScAlHg crystal from Alexandria. Energies are from PBE.

Summary:
- calculated density (Mg/m³) = 6.11
- ΔH_f (0 K) (eV per formula unit) = -1.2
- magnetization (μB/cell) = 0.0
- V (Å³/cell) = 75.9

Cell lengths 4.753, 4.753, 4.753 Å; angles 60.00, 60.00, 60.00 degrees
Atoms (fractional coordinates):
1 Li 0.000 0.000 0.000
2 Sc 0.500 0.500 0.500
3 Al 0.250 0.250 0.250
4 Hg 0.750 0.750 0.750

***

6.
Here is a relaxed CoRh4Au crystal from Alexandria. Energies are from PBE.

Summary:
- calculated density (Mg/m³) = 11.79
- ΔH_f (0 K) (eV per formula unit) = 2.9
- magnetization (μB/cell) = 5.1
- V (Å³/cell) = 94.0

Cell lengths 5.104, 5.104, 5.104 Å; angles 60.00, 60.00, 60.00 degrees
Atoms (fractional coordinates):
1 Co 0.000 0.000 0.000
2 Rh 0.124 0.625 0.625
3 Rh 0.625 0.124 0.625
4 Rh 0.625 0.625 0.124
5 Rh 0.625 0.625 0.625
6 Au 0.250 0.250 0.250

***

7.
Here is a relaxed TlPd14Pt crystal from Alexandria. Energies are from PBE.

Summary:
- calculated density (Mg/m³) = 12.39
- ΔH_f (0 K) (eV per formula unit) = -0.4
- magnetization (μB/cell) = 0.0
- V (Å³/cell) = 253.2

Cell lengths 9.236, 5.608, 5.608 Å; angles 60.65, 90.00, 90.00 degrees
Atoms (fractional coordinates):
1 Tl 0.000 0.000 0.000
2 Pd 0.000 0.000 0.501
3 Pd 0.000 0.501 0.000
4 Pd 0.250 0.332 0.332
5 Pd 0.253 0.334 0.830
6 Pd 0.253 0.830 0.334
7 Pd 0.254 0.831 0.831
8 Pd 0.500 0.162 0.162
9 Pd 0.500 0.162 0.661
10 Pd 0.500 0.661 0.162
11 Pd 0.500 0.662 0.662
12 Pd 0.746 0.831 0.831
13 Pd 0.747 0.334 0.830
14 Pd 0.747 0.830 0.334
15 Pd 0.750 0.332 0.332
16 Pt 0.000 0.500 0.500

***

8.
Here is a relaxed CsZrCl4 crystal from Alexandria. Energies are from PBE.

Summary:
- calculated density (Mg/m³) = 3.22
- uncorrected formation energy (eV per formula unit) = -11.155
- offset from the most stable computed form (meV/atom) = 0
- magnetization (μB/cell) = 0.0
- V (Å³/cell) = 377.8

Cell lengths 8.511, 8.511, 6.100 Å; angles 98.97, 98.97, 116.48 degrees
Atoms (fractional coordinates):
1 Cs 0.142 0.858 0.750
2 Cs 0.858 0.142 0.250
3 Zr 0.500 0.500 0.250
4 Zr 0.500 0.500 0.750
5 Cl 0.199 0.315 0.894
6 Cl 0.264 0.547 0.458
7 Cl 0.315 0.199 0.394
8 Cl 0.453 0.736 0.042
9 Cl 0.547 0.264 0.958
10 Cl 0.685 0.801 0.606
11 Cl 0.736 0.453 0.542
12 Cl 0.801 0.685 0.106

***

9.
Here is a relaxed SmC crystal from Alexandria. Energies are from PBE.

Summary:
- calculated density (Mg/m³) = 6.18
- ΔH_f (0 K) (eV per formula unit) = -0.4
- offset from the most stable computed form (meV/atom) = 0
- magnetization (μB/cell) = 0.0
- V (Å³/cell) = 87.2

Cell lengths 4.237, 4.237, 6.283 Å; angles 91.79, 91.79, 50.71 degrees
Atoms (fractional coordinates):
1 Sm 0.140 0.140 0.276
2 Sm 0.860 0.860 0.724
3 C 0.421 0.421 0.448
4 C 0.579 0.579 0.552

***

10.
Here is a relaxed LiPrHoRu crystal from Alexandria. Energies are from PBE.

Summary:
- calculated density (Mg/m³) = 7.77
- ΔH_f (0 K) (eV per formula unit) = -0.8
- magnetization (μB/cell) = 0.0
- V (Å³/cell) = 88.4

Cell lengths 5.001, 5.001, 5.001 Å; angles 60.00, 60.00, 60.00 degrees
Atoms (fractional coordinates):
1 Li 0.000 0.000 0.000
2 Pr 0.250 0.250 0.250
3 Ho 0.750 0.750 0.750
4 Ru 0.500 0.500 0.500

***

11.
Here is a relaxed KCoCu crystal from Alexandria. Energies are from PBE.

Summary:
- calculated density (Mg/m³) = 3.54
- ΔH_f (0 K) (eV per formula unit) = 3.8
- offset from the most stable computed form (meV/atom) = 624
- magnetization (μB/cell) = 2.1
- V (Å³/cell) = 75.7

Cell lengths 4.749, 4.749, 4.749 Å; angles 60.00, 60.00, 60.00 degrees
Atoms (fractional coordinates):
1 K 0.000 0.000 0.000
2 Co 0.500 0.500 0.500
3 Cu 0.250 0.250 0.250

***

12.
Here is a relaxed BiPAuS crystal from Alexandria. Energies are from PBE.

Summary:
- calculated density (Mg/m³) = 7.86
- uncorrected formation energy (eV per formula unit) = -0.067
- offset from the most stable computed form (meV/atom) = 30
- magnetization (μB/cell) = 0.0
- V (Å³/cell) = 99.1

Cell lengths 7.967, 7.967, 3.175 Å; angles 94.09, 94.09, 29.55 degrees
Atoms (fractional coordinates):
1 Bi 0.000 0.000 0.000
2 P 0.218 0.218 0.932
3 Au 0.629 0.629 0.941
4 S 0.314 0.314 0.463

***

- Look up the magnetization of the twelfth one.
  0.0 μB/cell

***

Copy entry 7 word for word.
Here is a relaxed TlPd14Pt crystal from Alexandria. Energies are from PBE.

Summary:
- calculated density (Mg/m³) = 12.39
- ΔH_f (0 K) (eV per formula unit) = -0.4
- magnetization (μB/cell) = 0.0
- V (Å³/cell) = 253.2

Cell lengths 9.236, 5.608, 5.608 Å; angles 60.65, 90.00, 90.00 degrees
Atoms (fractional coordinates):
1 Tl 0.000 0.000 0.000
2 Pd 0.000 0.000 0.501
3 Pd 0.000 0.501 0.000
4 Pd 0.250 0.332 0.332
5 Pd 0.253 0.334 0.830
6 Pd 0.253 0.830 0.334
7 Pd 0.254 0.831 0.831
8 Pd 0.500 0.162 0.162
9 Pd 0.500 0.162 0.661
10 Pd 0.500 0.661 0.162
11 Pd 0.500 0.662 0.662
12 Pd 0.746 0.831 0.831
13 Pd 0.747 0.334 0.830
14 Pd 0.747 0.830 0.334
15 Pd 0.750 0.332 0.332
16 Pt 0.000 0.500 0.500

***

- What is the magnetization in the sixth record?
  5.1 μB/cell

***

- Which of these has the highest magnetization?
  CoRh4Au